Density functional theory data (GGA-PBE) for a geometry-optimized Rb2LiUBr6 structure.

abc: 14.207 14.207 14.207
angles: 32.29 32.29 32.29
Fractional positions:
Rb1 0.130 0.130 0.130
Rb2 0.294 0.294 0.294
Rb3 0.706 0.706 0.706
Rb4 0.870 0.870 0.870
Li1 0.000 0.000 0.000
Li2 0.500 0.500 0.500
U1 0.414 0.414 0.414
U2 0.586 0.586 0.586
Br1 0.129 0.624 0.624
Br2 0.201 0.201 0.716
Br3 0.201 0.716 0.201
Br4 0.284 0.799 0.799
Br5 0.376 0.376 0.871
Br6 0.376 0.871 0.376
Br7 0.624 0.129 0.624
Br8 0.624 0.624 0.129
Br9 0.716 0.201 0.201
Br10 0.799 0.284 0.799
Br11 0.799 0.799 0.284
Br12 0.871 0.376 0.376

Summary:
* space group: R-3m
* formation energy without anion corrections: -1512 meV/atom
* V: 727.5 Å³/cell


Density functional theory data (GGA-PBE) for a geometry-optimized Li6In5Bi structure.

abc: 8.467 8.467 4.902
angles: 106.80 106.80 120.71
Fractional positions:
Li1 0.082 0.414 0.247
Li2 0.250 0.250 0.752
Li3 0.414 0.082 0.247
Li4 0.586 0.918 0.753
Li5 0.750 0.750 0.248
Li6 0.918 0.586 0.753
In1 0.174 0.826 0.500
In2 0.334 0.666 0.000
In3 0.500 0.500 0.500
In4 0.666 0.334 0.000
In5 0.826 0.174 0.500
Bi1 0.000 0.000 0.000

Summary:
* space group: C2/m
* V: 245.2 Å³/cell
* formation energy: -28.3 kJ per mole of atoms


Density functional theory data (GGA-PBE) for a geometry-optimized CaY2SbO structure.

abc: 4.754 4.754 4.793
angles: 90.00 90.00 90.00
Fractional positions:
Ca1 0.000 0.000 0.000
Y1 0.000 0.500 0.500
Y2 0.500 0.000 0.500
Sb1 0.500 0.500 0.000
O1 0.000 0.000 0.500

Summary:
* space group: P4/mmm
* formation energy without anion corrections: -1443 meV/atom
* V: 108.3 Å³/cell


Density functional theory data (GGA-PBE) for a geometry-optimized Sr2Ac3Mg2 structure.

abc: 4.081 35.611 4.035
angles: 90.00 90.00 90.00
Fractional positions:
Sr1 0.000 0.198 0.000
Sr2 0.000 0.802 0.000
Sr3 0.500 0.302 0.000
Sr4 0.500 0.698 0.000
Ac1 0.000 0.077 0.000
Ac2 0.000 0.500 0.500
Ac3 0.000 0.923 0.000
Ac4 0.500 0.000 0.500
Ac5 0.500 0.423 0.000
Ac6 0.500 0.577 0.000
Mg1 0.000 0.363 0.500
Mg2 0.000 0.637 0.500
Mg3 0.500 0.137 0.500
Mg4 0.500 0.863 0.500

Summary:
* space group: Cmmm
* V: 586.4 Å³/cell
* formation energy: -0.2 kJ per mole of atoms


Density functional theory data (GGA-PBE) for a geometry-optimized Ce2H2SeBr structure.

abc: 4.001 4.001 8.396
angles: 90.00 90.00 120.00
Fractional positions:
Ce1 0.333 0.667 0.275
Ce2 0.667 0.333 0.725
H1 0.333 0.667 0.754
H2 0.667 0.333 0.246
Se1 0.000 0.000 0.500
Br1 0.000 0.000 0.000

Summary:
* space group: P-3m1
* V: 116.4 Å³/cell
* E: -30.9 eV per cell


Density functional theory data (GGA-PBE) for a geometry-optimized Cd2TcAuS structure.

abc: 5.056 5.056 4.723
angles: 90.00 90.00 90.00
Fractional positions:
Cd1 0.000 0.500 0.000
Cd2 0.500 0.000 0.000
Tc1 0.000 0.000 0.500
Au1 0.500 0.500 0.500
S1 0.500 0.500 0.000

Summary:
* space group: P4/mmm
* formation energy without anion corrections: 1082 meV/atom
* V: 120.7 Å³/cell


Density functional theory data (GGA-PBE) for a geometry-optimized BPdCl3 structure.

abc: 4.860 4.860 4.860
angles: 90.00 90.00 90.00
Fractional positions:
B1 0.000 0.000 0.000
Pd1 0.500 0.500 0.500
Cl1 0.000 0.500 0.500
Cl2 0.500 0.000 0.500
Cl3 0.500 0.500 0.000

Summary:
* space group: Pm-3m
* polymorph energy (0 for the lowest one): 86.2 meV per atom
* formation energy without anion corrections: 613 meV/atom
* V: 114.8 Å³/cell


Density functional theory data (GGA-PBE) for a geometry-optimized TbDy2Y structure.

abc: 5.028 5.028 5.028
angles: 90.00 90.00 90.00
Fractional positions:
Tb1 0.000 0.000 0.000
Dy1 0.000 0.500 0.500
Dy2 0.500 0.000 0.500
Y1 0.500 0.500 0.000

Summary:
* space group: P4/mmm
* polymorph energy (0 for the lowest one): 15.3 meV per atom
* V: 127.1 Å³/cell
* formation energy: 2.1 kJ per mole of atoms


Density functional theory data (GGA-PBE) for a geometry-optimized Dy7Ho2Mg2 structure.

abc: 8.078 8.078 5.656
angles: 106.03 106.03 86.13
Fractional positions:
Dy1 0.000 0.000 0.000
Dy2 0.015 0.602 0.815
Dy3 0.223 0.223 0.671
Dy4 0.398 0.985 0.185
Dy5 0.602 0.015 0.815
Dy6 0.777 0.777 0.329
Dy7 0.985 0.398 0.185
Ho1 0.221 0.779 0.500
Ho2 0.779 0.221 0.500
Mg1 0.443 0.443 0.215
Mg2 0.557 0.557 0.785

Summary:
* space group: C2/m
* polymorph energy (0 for the lowest one): 94.0 meV per atom
* V: 341.0 Å³/cell
* formation energy: 16.2 kJ per mole of atoms


Density functional theory data (GGA-PBE) for a geometry-optimized SnGeF2 structure.

abc: 3.125 3.125 24.612
angles: 90.00 90.00 120.00
Fractional positions:
Sn1 0.000 0.000 0.000
Sn2 0.333 0.667 0.667
Sn3 0.667 0.333 0.333
Ge1 0.000 0.000 0.500
Ge2 0.333 0.667 0.167
Ge3 0.667 0.333 0.833
F1 0.000 0.000 0.415
F2 0.000 0.000 0.585
F3 0.333 0.667 0.081
F4 0.333 0.667 0.252
F5 0.667 0.333 0.748
F6 0.667 0.333 0.919

Summary:
* space group: R-3m
* polymorph energy (0 for the lowest one): 0.0 meV per atom
* formation energy without anion corrections: -1330 meV/atom
* V: 208.2 Å³/cell


Density functional theory data (GGA-PBE) for a geometry-optimized Pr3B2RuN6 structure.

abc: 5.407 5.407 6.328
angles: 90.00 90.00 120.00
Fractional positions:
Pr1 0.000 0.000 0.000
Pr2 0.333 0.667 0.670
Pr3 0.667 0.333 0.330
B1 0.333 0.667 0.272
B2 0.667 0.333 0.728
Ru1 0.000 0.000 0.500
N1 0.178 0.356 0.289
N2 0.178 0.822 0.289
N3 0.356 0.178 0.711
N4 0.644 0.822 0.289
N5 0.822 0.178 0.711
N6 0.822 0.644 0.711

Summary:
* space group: P-3m1
* formation energy without anion corrections: -800 meV/atom
* V: 160.2 Å³/cell


Density functional theory data (GGA-PBE) for a geometry-optimized BaCaBr2 structure.

abc: 5.465 5.465 8.984
angles: 90.00 90.00 90.00
Fractional positions:
Ba1 0.000 0.000 0.000
Ba2 0.500 0.500 0.500
Ca1 0.000 0.000 0.500
Ca2 0.500 0.500 0.000
Br1 0.000 0.500 0.250
Br2 0.000 0.500 0.750
Br3 0.500 0.000 0.250
Br4 0.500 0.000 0.750

Summary:
* space group: I4/mmm
* polymorph energy (0 for the lowest one): 258.8 meV per atom
* formation energy without anion corrections: -1185 meV/atom
* V: 268.4 Å³/cell


Density functional theory data (GGA-PBE) for a geometry-optimized RbCrSbCl6 structure.

abc: 6.858 6.866 7.216
angles: 91.62 91.71 118.35
Fractional positions:
Rb1 0.000 0.000 0.000
Cr1 0.324 0.675 0.500
Sb1 0.660 0.339 0.500
Cl1 0.008 0.647 0.318
Cl2 0.347 0.413 0.291
Cl3 0.353 0.991 0.681
Cl4 0.588 0.653 0.708
Cl5 0.628 0.032 0.276
Cl6 0.969 0.371 0.723

Summary:
* space group: P1
* formation energy without anion corrections: -1152 meV/atom
* V: 298.5 Å³/cell


Density functional theory data (GGA-PBE) for a geometry-optimized FeTc2Ag structure.

abc: 3.767 3.767 8.155
angles: 90.00 90.00 90.00
Fractional positions:
Fe1 0.000 0.000 0.000
Fe2 0.500 0.500 0.500
Tc1 0.000 0.500 0.250
Tc2 0.000 0.500 0.750
Tc3 0.500 0.000 0.250
Tc4 0.500 0.000 0.750
Ag1 0.000 0.000 0.500
Ag2 0.500 0.500 0.000

Summary:
* space group: I4/mmm
* polymorph energy (0 for the lowest one): 147.0 meV per atom
* V: 115.7 Å³/cell
* formation energy: 44.9 kJ per mole of atoms


Density functional theory data (GGA-PBE) for a geometry-optimized YTl4Ni structure.

abc: 6.163 6.163 6.163
angles: 60.00 60.00 60.00
Fractional positions:
Y1 0.000 0.000 0.000
Tl1 0.375 0.375 0.375
Tl2 0.375 0.375 0.874
Tl3 0.375 0.874 0.375
Tl4 0.874 0.375 0.375
Ni1 0.750 0.750 0.750

Summary:
* space group: F-43m
* V: 165.5 Å³/cell
* formation energy: 43.9 kJ per mole of atoms


Density functional theory data (GGA-PBE) for a geometry-optimized LiLa3Tb3Te8 structure.

abc: 8.937 8.937 8.937
angles: 59.62 59.62 59.62
Fractional positions:
Li1 0.000 0.000 0.000
La1 0.000 0.000 0.500
La2 0.000 0.500 0.000
La3 0.500 0.000 0.000
Tb1 0.000 0.500 0.500
Tb2 0.500 0.000 0.500
Tb3 0.500 0.500 0.000
Te1 0.247 0.247 0.744
Te2 0.247 0.744 0.247
Te3 0.255 0.255 0.255
Te4 0.256 0.753 0.753
Te5 0.744 0.247 0.247
Te6 0.745 0.745 0.745
Te7 0.753 0.256 0.753
Te8 0.753 0.753 0.256

Summary:
* space group: R-3m
* formation energy without anion corrections: -1436 meV/atom
* V: 500.3 Å³/cell


Density functional theory data (GGA-PBE) for a geometry-optimized Cd2MoAsCl structure.

abc: 5.408 5.408 5.005
angles: 90.00 90.00 90.00
Fractional positions:
Cd1 0.000 0.500 0.000
Cd2 0.500 0.000 0.000
Mo1 0.000 0.000 0.500
As1 0.000 0.000 0.000
Cl1 0.500 0.500 0.500

Summary:
* space group: P4/mmm
* formation energy without anion corrections: 528 meV/atom
* V: 146.4 Å³/cell


Density functional theory data (GGA-PBE) for a geometry-optimized Tb2Sm3Y6 structure.

abc: 32.129 32.129 32.129
angles: 6.40 6.40 6.40
Fractional positions:
Tb1 0.045 0.045 0.045
Tb2 0.955 0.955 0.955
Sm1 0.228 0.228 0.228
Sm2 0.500 0.500 0.500
Sm3 0.772 0.772 0.772
Y1 0.136 0.136 0.136
Y2 0.318 0.318 0.318
Y3 0.409 0.409 0.409
Y4 0.591 0.591 0.591
Y5 0.682 0.682 0.682
Y6 0.864 0.864 0.864

Summary:
* space group: R-3m
* V: 357.3 Å³/cell
* formation energy: 1.7 kJ per mole of atoms


Density functional theory data (GGA-PBE) for a geometry-optimized CaTm2SbO6 structure.

abc: 5.994 5.994 5.994
angles: 57.36 57.36 57.36
Fractional positions:
Ca1 0.000 0.000 0.000
Tm1 0.276 0.276 0.276
Tm2 0.782 0.782 0.782
Sb1 0.486 0.486 0.486
O1 0.105 0.658 0.407
O2 0.184 0.578 0.883
O3 0.407 0.105 0.658
O4 0.578 0.883 0.184
O5 0.658 0.407 0.105
O6 0.883 0.184 0.578

Summary:
* space group: R3
* formation energy without anion corrections: -2775 meV/atom
* V: 143.0 Å³/cell


Density functional theory data (GGA-PBE) for a geometry-optimized Ba4WAu structure.

abc: 6.977 6.977 6.977
angles: 60.00 60.00 60.00
Fractional positions:
Ba1 0.125 0.125 0.125
Ba2 0.125 0.125 0.625
Ba3 0.125 0.625 0.125
Ba4 0.625 0.125 0.125
W1 0.750 0.750 0.750
Au1 0.500 0.500 0.500

Summary:
* space group: F-43m
* V: 240.2 Å³/cell
* formation energy: 119.8 kJ per mole of atoms